Entry 1:
# TaCd2Co

A crystal of TaCd2Co relaxed with PBEsol (meta-GGA SCAN, Alexandria via LeMat-Bulk).

Geometry as POSCAR:
```
TaCd2Co
1.0
-0.0639 -3.0336 -0.1407
4.2144 0.0175 -2.2934
0.1445 1.2722 5.2942
Cd Co Ta
2 1 1
Direct
0.9953 0.9953 0.9906
0.7759 0.2759 0.5517
0.5176 0.5176 0.0352
0.2112 0.7112 0.4224
```

The calculated formation energy comes out at 8.9 kcal/mol of atoms. Its energy relative to the lowest polymorph listed for this composition is 0.038 eV/atom.

---

Entry 2:
# LiSiNi

A crystal of LiSiNi relaxed with PBEsol (meta-GGA SCAN, Alexandria via LeMat-Bulk).

Geometry as POSCAR:
```
LiSiNi
1.0
3.8281 0.0000 0.0000
1.9140 3.3152 0.0000
1.9140 1.1051 3.1256
Ni Si Li
1 1 1
Direct
0.5000 0.5000 0.5000
0.7500 0.7500 0.7500
0.0000 0.0000 0.0000
```

---

Entry 3:
# Al2ZnRh

A crystal of Al2ZnRh relaxed with PBEsol (meta-GGA SCAN, Alexandria via LeMat-Bulk).

Geometry as POSCAR:
```
Al2ZnRh
1.0
3.7437 0.0000 -0.0227
0.0000 3.7437 -0.0227
-1.8468 -1.8468 3.9445
Al Zn Rh
2 1 1
Direct
0.4999 0.5001 0.0000
0.7502 0.2498 0.5000
0.2502 0.7498 0.5000
0.9997 0.0003 0.0000
```

The calculated formation energy comes out at -15.1 kcal/mol of atoms.

---

Entry 4:
# TaFe2Ir

A crystal of TaFe2Ir relaxed with PBEsol (meta-GGA SCAN, Alexandria via LeMat-Bulk).

Geometry as POSCAR:
```
TaFe2Ir
1.0
-1.7018 -1.7146 2.8601
-1.9028 -2.1376 -2.4137
2.6965 -2.5117 0.0987
Ir Ta Fe
1 1 2
Direct
0.5000 0.5000 0.5000
0.0000 0.0000 0.5000
0.5000 0.0000 0.0000
0.0000 0.5000 0.0000
```

The calculated formation energy comes out at -7.6 kcal/mol of atoms. Its energy relative to the lowest polymorph listed for this composition is 0.036 eV/atom.

---

Entry 5:
# Ti2NiS4

A crystal of Ti2NiS4 relaxed with PBEsol (meta-GGA SCAN, Alexandria via LeMat-Bulk).

Geometry as POSCAR:
```
Ti2NiS4
1.0
-2.3936 -0.5334 2.2701
-3.3716 -2.2609 -4.0863
4.9783 -3.6415 1.9340
Ti S Ni
2 4 1
Direct
0.7445 0.7385 0.4890
0.2555 0.2615 0.5110
0.6207 0.9566 0.2415
0.1161 0.4470 0.2321
0.3793 0.0434 0.7585
0.8839 0.5530 0.7679
0.0000 0.0000 0.0000
```

---

Entry 6:
# ScSb2TeC

A crystal of ScSb2TeC relaxed with PBEsol (meta-GGA SCAN, Alexandria via LeMat-Bulk).

Geometry as POSCAR:
```
ScSb2TeC
1.0
5.3009 0.0000 0.0000
0.0000 5.3822 0.0000
0.0000 0.0000 5.3822
Sb Sc Te C
2 1 1 1
Direct
0.0000 0.0000 0.5000
0.0000 0.5000 0.0000
0.0000 0.0000 0.0000
0.5000 0.0000 0.0000
0.5000 0.5000 0.5000
```

---

VASP energy readings, ordered: -143.18 -28.69 -65.41 -175.25 -95.80 -128.79 eV per formula unit